No. 1
VASP calculation (PBE-GGA) on a geometry-optimized LiPbAu2 structure.

Cell: 6.8176 6.8176 6.8176 Å, 90.00 90.00 90.00°
Space group F-43m (No. 216)
Asymmetric unit:
Li  0.0000  0.0000  0.0000 (multiplicity 4)
Pb  0.2500  0.2500  0.7500 (multiplicity 4)
Au  0.0000  0.0000  0.5000 (multiplicity 4)
Au  0.2500  0.2500  0.2500 (multiplicity 4)

No. 2
VASP calculation (PBE-GGA) on a geometry-optimized MgHgF structure.

Cell: 5.7646 5.5671 7.1425 Å, 90.00 90.00 90.00°
Space group Pnma (No. 62)
Asymmetric unit:
Mg  0.2473  0.2500  0.0980 (multiplicity 4)
Hg  0.0964  0.7500  0.1853 (multiplicity 4)
F  0.0560  0.2500  0.3178 (multiplicity 4)

No. 3
VASP calculation (PBE-GGA) on a geometry-optimized KLuCoTe3 structure.

Cell: 11.2906 4.2429 15.4097 Å, 90.00 90.00 90.00°
Space group Pnma (No. 62)
Asymmetric unit:
K  0.2341  0.2500  0.0028 (multiplicity 4)
Lu  0.0076  0.7500  0.2565 (multiplicity 4)
Co  0.2485  0.7500  0.7844 (multiplicity 4)
Te  0.0569  0.7500  0.8745 (multiplicity 4)
Te  0.0707  0.2500  0.3860 (multiplicity 4)
Te  0.2459  0.2500  0.6845 (multiplicity 4)

Magnetization in μB/f.u.: 2.7

No. 4
VASP calculation (PBE-GGA) on a geometry-optimized DyMg2PdAu4 structure.

Cell: 4.7528 4.7528 6.7598 Å, 90.00 90.00 90.00°
Space group P4/mmm (No. 123)
Asymmetric unit:
Dy  0.0000  0.0000  0.0000 (multiplicity 1)
Mg  0.0000  0.0000  0.5000 (multiplicity 1)
Mg  0.5000  0.5000  0.0000 (multiplicity 1)
Pd  0.5000  0.5000  0.5000 (multiplicity 1)
Au  0.0000  0.5000  0.2609 (multiplicity 4)

Magnetization in μB/f.u.: 0.0

Summary of VASP energy in eV/f.u.
-13.1 -8.2 -27.0 -30.6
(order as listed above)